# Y3TmAl8, relaxed, DFT GGA-PBE
data_Y3TmAl8
_chemical_formula_sum 'Y9 Tm3 Al24'
_cell_length_a 5.5479
_cell_length_b 5.5479
_cell_length_c 27.3092
_cell_angle_alpha 90.00
_cell_angle_beta 90.00
_cell_angle_gamma 120.00
_symmetry_space_group_name_H-M 'R 3 m'
_symmetry_Int_Tables_number 160
_symmetry_space_group_name_Hall 'R 3 -2"'
loop_
_atom_site_label
_atom_site_fract_x
_atom_site_fract_y
_atom_site_fract_z
Y1 0.0000 0.0000 0.0000
Y2 0.0000 0.0000 0.1249
Y3 0.0000 0.0000 0.5006
Tm1 0.0000 0.0000 0.6247
Al1 0.0000 0.0000 0.3124
Al2 0.0000 0.0000 0.8126
Al3 0.9996 0.4998 0.0622
Al4 0.0000 0.5000 0.5629
# Energy relative to the elements in eV/atom: -0.5240
# Energy relative to the lowest polymorph listed for this composition in meV/atom: 0



# Pr3DyYEr, relaxed, DFT GGA-PBE
data_Pr3DyYEr
_chemical_formula_sum 'Pr12 Dy4 Y4 Er4'
_cell_length_a 5.134
_cell_length_b 15.408
_cell_length_c 10.267
_cell_angle_alpha 90.00
_cell_angle_beta 90.00
_cell_angle_gamma 90.00
_symmetry_space_group_name_H-M 'C m c m'
_symmetry_Int_Tables_number 63
_symmetry_space_group_name_Hall '-C 2c 2'
loop_
_atom_site_label
_atom_site_fract_x
_atom_site_fract_y
_atom_site_fract_z
Pr1 0.000 0.164 0.000
Pr2 0.000 0.335 0.250
Dy1 0.000 0.500 0.000
Y1 0.000 0.335 0.750
Er1 0.000 0.001 0.250
# Energy relative to the elements in eV/atom: 0.0222



# InTc5, relaxed, DFT GGA-PBE
data_InTc5
_chemical_formula_sum 'In2 Tc10'
_cell_length_a 4.365
_cell_length_b 13.333
_cell_length_c 3.202
_cell_angle_alpha 90.00
_cell_angle_beta 90.00
_cell_angle_gamma 90.00
_symmetry_space_group_name_H-M 'C m m m'
_symmetry_Int_Tables_number 65
_symmetry_space_group_name_Hall '-C 2 2'
loop_
_atom_site_label
_atom_site_fract_x
_atom_site_fract_y
_atom_site_fract_z
In1 0.000 0.000 0.000
Tc1 0.000 0.170 0.500
Tc2 0.000 0.326 0.000
Tc3 0.000 0.500 0.500
# Energy relative to the elements in eV/atom: 0.3109
# Energy relative to the lowest polymorph listed for this composition in meV/atom: 169



Copy entry 1 word for word.
# Y3TmAl8, relaxed, DFT GGA-PBE
data_Y3TmAl8
_chemical_formula_sum 'Y9 Tm3 Al24'
_cell_length_a 5.5479
_cell_length_b 5.5479
_cell_length_c 27.3092
_cell_angle_alpha 90.00
_cell_angle_beta 90.00
_cell_angle_gamma 120.00
_symmetry_space_group_name_H-M 'R 3 m'
_symmetry_Int_Tables_number 160
_symmetry_space_group_name_Hall 'R 3 -2"'
loop_
_atom_site_label
_atom_site_fract_x
_atom_site_fract_y
_atom_site_fract_z
Y1 0.0000 0.0000 0.0000
Y2 0.0000 0.0000 0.1249
Y3 0.0000 0.0000 0.5006
Tm1 0.0000 0.0000 0.6247
Al1 0.0000 0.0000 0.3124
Al2 0.0000 0.0000 0.8126
Al3 0.9996 0.4998 0.0622
Al4 0.0000 0.5000 0.5629
# Energy relative to the elements in eV/atom: -0.5240
# Energy relative to the lowest polymorph listed for this composition in meV/atom: 0